First-principles (PBE-GGA) data for crystalline Mg2RuRh at its relaxed geometry, as listed in Alexandria via LeMat-Bulk.

abc: 5.1331 5.1331 2.7784
angles: 77.58 77.58 113.24
Fractional positions:
Ru: 0.0000 0.5000 0.5000
Rh: 0.5000 0.0000 0.5000
Mg: 0.5000 0.5000 0.0000
Mg: 0.0000 0.0000 0.0000

ΔH_f (0 K) ... -6 kJ per mole of atoms
Electronic total energy ... -20.07 eV for the cell shown
Space group ... No. 12